No. 1
VASP calculation (GGA-PBEsol) on a geometry-optimized KPS2Cl structure.

Values from the calculation:
energy: -2.9856 eV/atom
magnetic moment: 1.1 μB/cell

Unit cell a=4.670 b=4.862 c=4.862 alpha=90.00 beta=90.00 gamma=90.00
Site moments in Bohr magnetons follow the coordinates.
Sites, in units of the cell vectors:
Cl: 0.000 0.000 0.000  0.04
S: 0.000 0.500 0.000  0.08
S: 0.000 0.000 0.500  0.08
K: 0.500 0.500 0.500  0.01
P: 0.500 0.000 0.000  0.35

No. 2
VASP calculation (GGA-PBEsol) on a geometry-optimized ZrSbPbI2 structure.

Values from the calculation:
energy: -4.2706 eV/atom
magnetic moment: 0.0 μB/cell

Unit cell a=5.511 b=5.511 c=5.729 alpha=90.00 beta=90.00 gamma=90.00
Sites, in units of the cell vectors:
Sb: 0.000 0.000 0.500
I: 0.000 0.500 0.000
I: 0.500 0.000 0.000
Pb: 0.500 0.500 0.500
Zr: 0.000 0.000 0.000

No. 3
VASP calculation (GGA-PBEsol) on a geometry-optimized La2TlSi structure.

Values from the calculation:
energy: -5.1540 eV/atom
magnetic moment: 0.0 μB/cell

Unit cell a=4.274 b=4.274 c=8.360 alpha=75.19 beta=75.19 gamma=60.00
Sites, in units of the cell vectors:
La: 0.264 0.264 0.209
La: 0.736 0.736 0.791
Tl: 0.500 0.500 0.500
Si: 0.000 0.000 0.000

No. 4
VASP calculation (GGA-PBEsol) on a geometry-optimized CdTe structure.

Values from the calculation:
energy: -2.6116 eV/atom
magnetic moment: 0.0 μB/cell

Unit cell a=4.424 b=4.424 c=5.586 alpha=90.00 beta=90.00 gamma=96.29
Sites, in units of the cell vectors:
Cd: 0.647 0.353 0.250
Cd: 0.353 0.647 0.750
Te: 0.797 0.203 0.750
Te: 0.203 0.797 0.250

No. 5
VASP calculation (GGA-PBEsol) on a geometry-optimized Cu2RhSe structure.

Values from the calculation:
energy: -5.0768 eV/atom
magnetic moment: 0.0 μB/cell

Unit cell a=3.227 b=3.978 c=4.877 alpha=114.02 beta=109.32 gamma=90.00
Sites, in units of the cell vectors:
Cu: 0.737 0.737 0.474
Cu: 0.263 0.263 0.526
Rh: 0.500 0.000 0.000
Se: 0.000 0.500 0.000

No. 6
VASP calculation (GGA-PBEsol) on a geometry-optimized Y2HfCoHg structure.

Values from the calculation:
energy: -5.1648 eV/atom
energy of formation from the pure elements: 1.33 eV per atom
magnetic moment: 2.0 μB/cell

Unit cell a=5.154 b=5.388 c=5.388 alpha=90.00 beta=90.00 gamma=90.00
Site moments in Bohr magnetons follow the coordinates.
Sites, in units of the cell vectors:
Y: 0.000 0.500 0.000  -0.03
Y: 0.000 0.000 0.500  -0.03
Co: 0.500 0.500 0.500  2.02
Hg: 0.500 0.000 0.000  0.01
Hf: 0.000 0.000 0.000  0.08

No. 7
VASP calculation (GGA-PBEsol) on a geometry-optimized GaHgP2 structure.

Values from the calculation:
energy: -3.3457 eV/atom
energy of formation from the pure elements: 0.53 eV per atom
magnetic moment: 0.0 μB/cell

Unit cell a=4.641 b=4.641 c=4.641 alpha=60.00 beta=60.00 gamma=60.00
Sites, in units of the cell vectors:
P: 0.250 0.250 0.250
P: 0.750 0.750 0.750
Ga: 0.000 0.000 0.000
Hg: 0.500 0.500 0.500

No. 8
VASP calculation (GGA-PBEsol) on a geometry-optimized AlCo3N structure.

Values from the calculation:
energy: -4.9687 eV/atom
magnetic moment: 5.0 μB/cell

Unit cell a=4.180 b=4.180 c=4.180 alpha=90.00 beta=90.00 gamma=90.00
Site moments in Bohr magnetons follow the coordinates.
Sites, in units of the cell vectors:
Co: 0.500 0.000 0.000  1.51
Co: 0.000 0.500 0.000  1.51
Co: 0.000 0.000 0.500  1.51
N: 0.500 0.500 0.500  0.49
Al: 0.000 0.000 0.000  -0.07

No. 9
VASP calculation (GGA-PBEsol) on a geometry-optimized AgMoRu2 structure.

Values from the calculation:
energy: -8.1572 eV/atom
energy of formation from the pure elements: 0.70 eV per atom
magnetic moment: 0.9 μB/cell
distance to the lowest polymorph of the same formula: 0.359 eV per atom

Unit cell a=4.366 b=4.366 c=4.366 alpha=60.00 beta=60.00 gamma=60.00
Site moments in Bohr magnetons follow the coordinates.
Sites, in units of the cell vectors:
Mo: 0.750 0.750 0.750  -0.03
Ru: 0.000 0.000 0.000  0.52
Ru: 0.250 0.250 0.250  0.33
Ag: 0.500 0.500 0.500  0.01

No. 10
VASP calculation (GGA-PBEsol) on a geometry-optimized LiPb3N structure.

Values from the calculation:
energy: -3.3760 eV/atom
magnetic moment: 0.8 μB/cell

Unit cell a=4.915 b=4.915 c=4.915 alpha=90.00 beta=90.00 gamma=90.00
Site moments in Bohr magnetons follow the coordinates.
Sites, in units of the cell vectors:
Pb: 0.000 0.500 0.000  -0.03
Pb: 0.500 0.000 0.000  -0.03
Pb: 0.000 0.000 0.500  -0.03
Li: 0.000 0.000 0.000  0.01
N: 0.500 0.500 0.500  0.71

No. 11
VASP calculation (GGA-PBEsol) on a geometry-optimized AsP2Cl structure.

Values from the calculation:
energy: -4.6173 eV/atom
magnetic moment: 0.0 μB/cell
distance to the lowest polymorph of the same formula: 0.000 eV per atom

Unit cell a=3.265 b=5.529 c=6.434 alpha=104.07 beta=90.00 gamma=107.17
Sites, in units of the cell vectors:
As: 0.417 0.835 0.527
Cl: 0.773 0.546 0.281
P: 0.981 0.962 0.879
P: 0.329 0.657 0.813

No. 12
VASP calculation (GGA-PBEsol) on a geometry-optimized BeCr2Re structure.

Values from the calculation:
energy: -9.4034 eV/atom
energy of formation from the pure elements: 0.05 eV per atom
magnetic moment: 0.0 μB/cell

Unit cell a=2.897 b=4.042 c=4.654 alpha=115.74 beta=108.13 gamma=90.00
Sites, in units of the cell vectors:
Be: 0.255 0.255 0.511
Re: 0.493 0.993 0.987
Cr: 0.009 0.509 0.018
Cr: 0.742 0.742 0.484